Dy2ErTl3AgPd2, relaxed, DFT GGA-PBE; SG = Amm2; mass density = 11.606 g cm⁻³; E = -38.9 eV/f.u.
1.0
3.754 0.000 0.000
0.000 6.858 3.962
0.000 -6.858 3.962
Ag Pd Dy Er Tl
1 2 2 1 3
direct
0.000 0.001 0.001
0.500 0.334 0.665
0.500 0.665 0.334
0.000 0.594 0.000
0.000 0.000 0.594
0.000 0.406 0.406
0.500 0.000 0.274
0.500 0.725 0.725
0.500 0.274 0.000